Entry from Alexandria: a geometry-optimized BaV2TeO8 structure (GGA+U).

Summary:
The energy above the most stable polymorph in this dataset comes out at 0.000 eV per atom.

abc: 9.8987 5.6988 14.6321
angles: 90.00 112.35 90.00
Space group P2_1/c (No. 14)
Asymmetric unit:
Ba  0.2447  0.1832  0.3357
V  0.0032  0.1586  0.0856
V  0.4789  0.1385  0.1368
Te  0.2822  0.6510  0.0919
O  0.0176  0.5138  0.3207
O  0.1213  0.5595  0.5492
O  0.1388  0.1397  0.6382
O  0.1552  0.6103  0.9549
O  0.3384  0.6589  0.3254
O  0.3902  0.1142  0.5584
O  0.4232  0.6324  0.5652
O  0.4318  0.1166  0.2358